# 1
BaCaHgF6 | GGA-PBE | relaxed

DOS(E_F), states/eV/cell: 0.00
Total magnetization, μB per formula unit: 0.00
E_form (uncorrected), eV/atom: -3.042

Lattice parameters (Å, degrees): 6.0915 6.0915 11.0276 90.00 90.00 120.00
Sites, in units of the cell vectors:
Ba 0.0000 0.0000 0.0000
Ba 0.0000 0.0000 0.5000
Ca 0.3333 0.6667 0.2500
Ca 0.6667 0.3333 0.7500
Hg 0.3333 0.6667 0.7500
Hg 0.6667 0.3333 0.2500
F 0.0090 0.3578 0.1399
F 0.0090 0.6512 0.3601
F 0.3488 0.3578 0.3601
F 0.3488 0.9910 0.1399
F 0.3578 0.0090 0.6399
F 0.3578 0.3488 0.8601
F 0.6422 0.6512 0.1399
F 0.6422 0.9910 0.3601
F 0.6512 0.0090 0.8601
F 0.6512 0.6422 0.6399
F 0.9910 0.3488 0.6399
F 0.9910 0.6422 0.8601



# 2
CoTeSe2I | GGA-PBE | relaxed

DOS(E_F), states/eV/cell: 6.48
Total magnetization, μB per formula unit: 2.20
E_form (uncorrected), eV/atom: 1.075

Lattice parameters (Å, degrees): 5.5879 5.5879 4.7228 90.00 90.00 90.00
Sites, in units of the cell vectors:
Co 0.0000 0.0000 0.0000
Te 0.5000 0.5000 0.0000
Se 0.0000 0.5000 0.5000
Se 0.5000 0.0000 0.5000
I 0.0000 0.0000 0.5000



# 3
MgIn12Hg6 | GGA-PBE | relaxed

DOS(E_F), states/eV/cell: 8.36
Formation enthalpy at 0 K, eV per formula unit: 0.82
Total magnetization, μB per formula unit: 0.00

Lattice parameters (Å, degrees): 8.3447 8.3447 8.3447 103.71 103.71 103.71
Sites, in units of the cell vectors:
Mg 0.0000 0.0000 0.0000
In 0.0414 0.1822 0.7109
In 0.1799 0.5298 0.6384
In 0.1822 0.7109 0.0414
In 0.2891 0.9586 0.8178
In 0.3616 0.8201 0.4702
In 0.4702 0.3616 0.8201
In 0.5298 0.6384 0.1799
In 0.6384 0.1799 0.5298
In 0.7109 0.0414 0.1822
In 0.8178 0.2891 0.9586
In 0.8201 0.4702 0.3616
In 0.9586 0.8178 0.2891
Hg 0.1617 0.4285 0.2414
Hg 0.2414 0.1617 0.4285
Hg 0.4285 0.2414 0.1617
Hg 0.5715 0.7586 0.8383
Hg 0.7586 0.8383 0.5715
Hg 0.8383 0.5715 0.7586



# 4
CaNiH6Pd | GGA-PBE | relaxed

DOS(E_F), states/eV/cell: 1.21
Total magnetization, μB per formula unit: 0.00

Lattice parameters (Å, degrees): 4.7129 4.7129 4.3328 90.00 90.00 120.00
Sites, in units of the cell vectors:
Ca 0.0000 0.0000 0.0000
Ni 0.3333 0.6667 0.5000
H 0.0278 0.4322 0.2817
H 0.0278 0.5956 0.7183
H 0.4044 0.4322 0.7183
H 0.4044 0.9722 0.2817
H 0.5678 0.5956 0.2817
H 0.5678 0.9722 0.7183
Pd 0.6667 0.3333 0.5000



# 5
Ti2Tc2Pb | GGA-PBE | relaxed

DOS(E_F), states/eV/cell: 14.97
Formation enthalpy at 0 K, eV per formula unit: 0.50
Total magnetization, μB per formula unit: 0.00

Lattice parameters (Å, degrees): 7.3908 7.3908 3.2050 90.00 90.00 90.00
Sites, in units of the cell vectors:
Ti 0.1471 0.3529 0.0000
Ti 0.3529 0.8529 0.0000
Ti 0.6471 0.1471 0.0000
Ti 0.8529 0.6471 0.0000
Tc 0.1440 0.6440 0.5000
Tc 0.3560 0.1440 0.5000
Tc 0.6440 0.8560 0.5000
Tc 0.8560 0.3560 0.5000
Pb 0.0000 0.0000 0.5000
Pb 0.5000 0.5000 0.5000



# 6
Al3VP | GGA-PBE | relaxed

DOS(E_F), states/eV/cell: 5.97
Formation enthalpy at 0 K, eV per formula unit: 3.64
Total magnetization, μB per formula unit: 3.61

Lattice parameters (Å, degrees): 4.6482 4.6482 4.6482 90.00 90.00 90.00
Sites, in units of the cell vectors:
Al 0.0000 0.0000 0.5000
Al 0.0000 0.5000 0.0000
Al 0.5000 0.0000 0.0000
V 0.5000 0.5000 0.5000
P 0.0000 0.0000 0.0000



no.,theoretical density (g/cm³),calculated total energy (eV per atom)
1,4.61,-4.759
2,5.31,-2.678
3,8.30,-1.866
4,4.21,-3.950
5,9.46,-7.945
6,2.69,-4.422